[1]
TlAgPt | PBE | relaxed

Final energy   -3.47 eV/atom

The structure in CIF format:
```
data_TlAgPt
_chemical_formula_sum 'Tl4 Ag4 Pt4'
_cell_length_a 6.427
_cell_length_b 6.427
_cell_length_c 6.427
_cell_angle_alpha 90.00
_cell_angle_beta 90.00
_cell_angle_gamma 90.00
_symmetry_space_group_name_H-M 'F -4 3 m'
_symmetry_Int_Tables_number 216
_symmetry_space_group_name_Hall 'F -4 2 3'
loop_
_atom_site_label
_atom_site_type_symbol
_atom_site_fract_x
_atom_site_fract_y
_atom_site_fract_z
Tl1 Tl 0.000 0.000 0.000
Ag1 Ag 0.250 0.250 0.750
Pt1 Pt 0.250 0.250 0.250
```



[2]
TlAgPt2 | PBE | relaxed

Final energy   -4.24 eV/atom

The structure in CIF format:
```
data_TlAgPt2
_chemical_formula_sum 'Tl4 Ag4 Pt8'
_cell_length_a 6.584
_cell_length_b 6.584
_cell_length_c 6.584
_cell_angle_alpha 90.00
_cell_angle_beta 90.00
_cell_angle_gamma 90.00
_symmetry_space_group_name_H-M 'F -4 3 m'
_symmetry_Int_Tables_number 216
_symmetry_space_group_name_Hall 'F -4 2 3'
loop_
_atom_site_label
_atom_site_type_symbol
_atom_site_fract_x
_atom_site_fract_y
_atom_site_fract_z
Tl1 Tl 0.000 0.000 0.000
Ag1 Ag 0.250 0.250 0.250
Pt1 Pt 0.000 0.000 0.500
Pt2 Pt 0.250 0.250 0.750
```



Number 1: size of the total moment 0.0 μB per formula unit. Number 2: size of the total moment 0.0 μB per formula unit.